i | RbFe2Pt | the Alexandria database | PBE | relaxed; total moment = 6.72 μB per formula unit; DOS(E_F) = 18.9 states/eV per cell
1.0
5.028 0.000 0.000
0.000 5.028 0.000
0.000 0.000 17.160
Rb Fe Pt
4 8 4
Direct
0.000 0.250 0.375
0.000 0.750 0.625
0.500 0.250 0.125
0.500 0.750 0.875
0.000 0.000 0.000
0.000 0.500 0.000
0.250 0.250 0.750
0.250 0.750 0.250
0.500 0.000 0.500
0.500 0.500 0.500
0.750 0.250 0.750
0.750 0.750 0.250
0.000 0.250 0.875
0.000 0.750 0.125
0.500 0.250 0.625
0.500 0.750 0.375

ii | RbFe2Pt | the Alexandria database | PBE | relaxed; total moment = 6.28 μB per formula unit; DOS(E_F) = 15.8 states/eV per cell
1.0
6.623 0.000 0.000
0.000 6.623 0.000
0.000 0.000 6.623
Rb Fe Pt
4 8 4
Direct
0.000 0.000 0.000
0.000 0.500 0.500
0.500 0.000 0.500
0.500 0.500 0.000
0.250 0.250 0.250
0.250 0.250 0.750
0.250 0.750 0.250
0.250 0.750 0.750
0.750 0.250 0.250
0.750 0.250 0.750
0.750 0.750 0.250
0.750 0.750 0.750
0.000 0.000 0.500
0.000 0.500 0.000
0.500 0.000 0.000
0.500 0.500 0.500

Energy relative to the most stable one, in eV/atom: i 0.000; ii 0.327